A relaxed FeTcRh2 crystal, computed with PBE.

Cell lengths 4.649, 4.649, 2.699 Å; angles 90.00, 90.00, 108.95 degrees
Each line ends with the local moment (μB).
Fractional positions:
Tc 0.500 0.000 0.500  -0.11
Rh 0.000 0.000 0.000  0.17
Rh 0.500 0.500 0.000  0.17
Fe 0.000 0.500 0.500  2.71

Calculated values
Electronic total energy in eV per atom: -8.41
Calculated volume in Å³/f.u.: 55
Space-group type: Cmmm, No. 65
Excess energy over the best structure of this formula in the dataset in meV/atom: 58
DFT formation energy in kJ/mol of atoms: -2.21